Record 1
Material: AgTeBr2
Method: DFT, PBE
State: optimized geometry

CIF file:
```
data_AgTeBr2
_chemical_formula_sum 'Ag2 Te2 Br4'
_space_group_name_H-M_alt 'I -4 m 2'
_space_group_IT_number 119
_space_group_name_Hall 'I -4 -2'
_cell_length_a 4.086
_cell_length_b 4.086
_cell_length_c 16.002
_cell_angle_alpha 90.00
_cell_angle_beta 90.00
_cell_angle_gamma 90.00
loop_
_atom_site_label
_atom_site_type_symbol
_atom_site_fract_x
_atom_site_fract_y
_atom_site_fract_z
Ag1 Ag 0.000 0.000 0.000
Te1 Te 0.000 0.500 0.250
Br1 Br 0.000 0.000 0.500
Br2 Br 0.000 0.500 0.750
```

## Properties
Formation energy from raw total energies = 58.4 meV/atom
Electronic total energy = -2.276 eV/atom
Polymorph energy (0 for the lowest one) = 224 meV per atom

Record 2
Material: KBaOs2
Method: DFT, PBE
State: optimized geometry

CIF file:
```
data_KBaOs2
_chemical_formula_sum 'K1 Ba1 Os2'
_space_group_name_H-M_alt 'P m m m'
_space_group_IT_number 47
_space_group_name_Hall '-P 2 2'
_cell_length_a 2.976
_cell_length_b 5.482
_cell_length_c 7.312
_cell_angle_alpha 90.00
_cell_angle_beta 90.00
_cell_angle_gamma 90.00
loop_
_atom_site_label
_atom_site_type_symbol
_atom_site_fract_x
_atom_site_fract_y
_atom_site_fract_z
K1 K 0.000 0.000 0.000
Ba1 Ba 0.000 0.000 0.500
Os1 Os 0.500 0.500 0.345
```

## Properties
Electronic total energy = -5.113 eV/atom
Polymorph energy (0 for the lowest one) = 810 meV per atom